# 1
Compound: Nd2Fe17
Source: Alexandria via LeMat-Bulk
Functional: PBE
Structure: relaxed

Unit cell a=6.465 b=6.465 c=6.465 alpha=82.94 beta=82.94 gamma=82.94
Last column: magnetic moment on the atom in μB.
Sites, in units of the cell vectors:
Nd 0.341 0.341 0.341  -0.28
Nd 0.659 0.659 0.659  -0.28
Fe 0.658 0.658 0.154  2.43
Fe 0.154 0.658 0.658  2.43
Fe 0.904 0.904 0.904  2.67
Fe 0.096 0.096 0.096  2.67
Fe 0.000 0.000 0.500  2.23
Fe 0.000 0.500 0.000  2.23
Fe 0.500 0.000 0.000  2.23
Fe 0.289 0.711 0.000  2.51
Fe 0.711 0.000 0.289  2.51
Fe 0.000 0.289 0.711  2.51
Fe 0.711 0.289 0.000  2.51
Fe 0.289 0.000 0.711  2.51
Fe 0.000 0.711 0.289  2.51
Fe 0.846 0.342 0.342  2.43
Fe 0.342 0.342 0.846  2.43
Fe 0.342 0.846 0.342  2.43
Fe 0.658 0.154 0.658  2.43

E_form ... 0.039 eV/atom

---

# 2
Compound: CePmMg17
Source: Alexandria via LeMat-Bulk
Functional: PBE
Structure: relaxed

Unit cell a=7.802 b=7.802 c=7.802 alpha=82.27 beta=82.27 gamma=82.27
Last column: magnetic moment on the atom in μB.
Sites, in units of the cell vectors:
Ce 0.331 0.331 0.331  1.02
Pm 0.670 0.670 0.670  -0.01
Mg 0.303 0.000 0.698  0.00
Mg 0.698 0.303 0.000  0.00
Mg 0.000 0.698 0.303  0.00
Mg 0.303 0.698 0.000  0.00
Mg 0.000 0.303 0.698  0.00
Mg 0.698 0.000 0.303  0.00
Mg 0.352 0.837 0.352  0.00
Mg 0.352 0.352 0.837  0.00
Mg 0.837 0.352 0.352  0.00
Mg 0.649 0.158 0.649  0.00
Mg 0.649 0.649 0.158  0.00
Mg 0.158 0.649 0.649  0.00
Mg 0.002 0.498 0.002  0.00
Mg 0.002 0.002 0.498  0.00
Mg 0.498 0.002 0.002  0.00
Mg 0.901 0.901 0.901  0.00
Mg 0.098 0.098 0.098  0.00

E_form ... -0.030 eV/atom

---

# 3
Compound: ReBPt2I
Source: Alexandria via LeMat-Bulk
Functional: PBE
Structure: relaxed

Unit cell a=5.001 b=4.267 c=5.001 alpha=90.00 beta=90.00 gamma=90.00
Last column: magnetic moment on the atom in μB.
Sites, in units of the cell vectors:
I 0.000 0.000 0.000  0.01
Re 0.500 0.500 0.500  3.26
B 0.000 0.500 0.000  -0.09
Pt 0.000 0.000 0.500  0.03
Pt 0.500 0.000 0.000  0.08

Energy relative to the elements, uncorrected ... 2.378 eV per atom

---

# 4
Compound: Ir3Rh13
Source: Alexandria via LeMat-Bulk
Functional: PBE
Structure: relaxed

Unit cell a=6.463 b=6.463 c=5.492 alpha=90.00 beta=90.00 gamma=94.07
Sites, in units of the cell vectors:
Ir 0.042 0.958 0.250
Ir 0.793 0.207 0.000
Ir 0.042 0.958 0.750
Rh 0.459 0.042 0.250
Rh 0.542 0.458 0.248
Rh 0.958 0.541 0.250
Rh 0.710 0.794 0.000
Rh 0.206 0.290 0.000
Rh 0.290 0.710 0.000
Rh 0.459 0.042 0.750
Rh 0.542 0.458 0.752
Rh 0.958 0.541 0.750
Rh 0.793 0.207 0.500
Rh 0.709 0.791 0.500
Rh 0.209 0.291 0.500
Rh 0.290 0.710 0.500

E_form ... 0.047 eV/atom

---

# 5
Compound: Pa3Fe3Sb4
Source: Alexandria via LeMat-Bulk
Functional: PBE
Structure: relaxed

Unit cell a=8.126 b=8.126 c=8.126 alpha=109.47 beta=109.47 gamma=109.47
Last column: magnetic moment on the atom in μB.
Sites, in units of the cell vectors:
Pa 0.625 0.750 0.875  -0.10
Pa 0.875 0.250 0.625  -0.10
Pa 0.125 0.375 0.250  -0.10
Pa 0.375 0.125 0.750  -0.10
Pa 0.250 0.875 0.125  -0.10
Pa 0.750 0.625 0.375  -0.10
Fe 0.125 0.750 0.375  0.99
Fe 0.375 0.250 0.125  0.99
Fe 0.625 0.875 0.250  0.99
Fe 0.875 0.625 0.750  0.99
Fe 0.250 0.375 0.625  0.99
Fe 0.750 0.125 0.875  0.99
Sb 0.000 0.000 0.336  0.02
Sb 0.500 0.336 0.500  0.02
Sb 0.664 0.164 0.164  0.02
Sb 0.000 0.000 0.836  0.02
Sb 0.836 0.500 0.000  0.02
Sb 0.500 0.836 0.500  0.02
Sb 0.336 0.500 0.000  0.02
Sb 0.164 0.664 0.664  0.02

Energy relative to the elements, uncorrected ... -0.485 eV per atom

---

# 6
Compound: YHo8Th2
Source: Alexandria via LeMat-Bulk
Functional: PBE
Structure: relaxed

Unit cell a=5.554 b=10.040 c=10.040 alpha=40.90 beta=91.97 gamma=91.97
Sites, in units of the cell vectors:
Y 0.000 0.000 0.000
Ho 0.262 0.140 0.598
Ho 0.262 0.598 0.140
Ho 0.738 0.860 0.402
Ho 0.238 0.547 0.547
Ho 0.738 0.402 0.860
Ho 0.234 0.182 0.182
Ho 0.766 0.818 0.818
Ho 0.762 0.453 0.453
Th 0.740 0.282 0.282
Th 0.260 0.718 0.718

Offset from the most stable computed form ... 9.5 meV/atom
E_form ... 0.193 eV/atom

---

no.,V (Å³/atom),uncorrected energy (eV per cell)
1,13.921,-152.66
2,24.365,-38.36
3,21.343,-20.87
4,14.300,-121.40
5,20.654,-150.42
6,33.300,-55.80